Computed, not measured: a relaxed BeInPb crystal at the PBE level of DFT.

Lattice parameters (Å, degrees): 4.621 4.621 4.621 60.00 60.00 60.00
Positions (direct):
Pb 0.500 0.500 0.500
Be 0.750 0.750 0.750
In 0.000 0.000 0.000

Energy above the lowest structure with this stoichiometry = 0 meV/atom
Size of the total moment = 0.00 μB per formula unit
DOS at the Fermi energy = 2.1 states/eV/cell
E_form = 0.38 eV/atom
DFT total energy = -0.111 Ha/atom
Calculated volume = 23.25 A^3/atom

***

Computed, not measured: a relaxed BeInPb2 crystal at the PBE level of DFT.

Lattice parameters (Å, degrees): 3.445 3.421 9.045 73.76 90.00 90.00
Positions (direct):
Pb 0.000 0.998 0.051
Pb 0.000 0.502 0.449
Be 0.500 0.250 0.250
In 0.500 0.750 0.750

Energy above the lowest structure with this stoichiometry = 26 meV/atom
Size of the total moment = 0.00 μB per formula unit
DOS at the Fermi energy = 1.7 states/eV/cell
E_form = 0.37 eV/atom
DFT total energy = -0.114 Ha/atom
Calculated volume = 25.58 A^3/atom

***

Computed, not measured: a relaxed BeIn2Pb crystal at the PBE level of DFT.

Lattice parameters (Å, degrees): 5.489 5.489 3.436 90.00 90.00 108.33
Positions (direct):
Pb 0.500 0.000 0.500
Be 0.000 0.500 0.500
In 0.000 0.000 0.000
In 0.500 0.500 0.000

Energy above the lowest structure with this stoichiometry = 186 meV/atom
Size of the total moment = 0.00 μB per formula unit
DOS at the Fermi energy = 1.5 states/eV/cell
E_form = 0.50 eV/atom
DFT total energy = -0.100 Ha/atom
Calculated volume = 24.57 A^3/atom